# 1
## Al2FeIr (SCAN)

Data for a crystal of Al2FeIr relaxed with PBEsol.

The space group is Fm-3m (No. 225) and the conventional cell measures 5.843, 5.843 and 5.843 Å, with angles of 90.00, 90.00 and 90.00 degrees. The inequivalent atoms are Al at (0.250, 0.250, 0.250), Fe at (0.000, 0.000, 0.000) and Ir at (0.000, 0.000, 0.500).

Its formation energy is -858 meV per atom. As for the size of the total moment: 0.004 μB per atom. For the volume, the calculation gives 200 Å³/cell.

# 2
## Al2FeIr (SCAN)

Data for a crystal of Al2FeIr relaxed with PBEsol.

The space group is I-42d (No. 122) and the conventional cell measures 6.661, 6.661 and 5.293 Å, with angles of 90.00, 90.00 and 90.00 degrees. The inequivalent atoms are Al at (0.249, 0.250, 0.125), Fe at (0.000, 0.000, 0.500) and Ir at (0.000, 0.000, 0.000).

Its formation energy is -79 meV per atom. As for the size of the total moment: 0.696 μB per atom. For the volume, the calculation gives 235 Å³/cell.

Looking at mass density for the records above, in order, we have 10.1 8.5 g cm⁻³.